No. 1
Here is a relaxed TlSb2Cl crystal from Alexandria via LeMat-Bulk. Energies are from PBE.

Output
Crystal system: monoclinic
Energy above the lowest structure with this stoichiometry, meV per atom: 0
Energy, eV for the cell shown: -28.148
Magnetization, μB/atom: 0.000
Formation energy without anion corrections, eV/f.u.: -1.62

Geometry as CIF:
```
data_TlSb2Cl
_chemical_formula_sum 'Tl2 Sb4 Cl2'
_cell_length_a 7.4023
_cell_length_b 4.2694
_cell_length_c 9.2170
_cell_angle_alpha 90.00
_cell_angle_beta 105.42
_cell_angle_gamma 90.00
_symmetry_space_group_name_H-M 'C 1 m 1'
_symmetry_Int_Tables_number 8
loop_
_symmetry_equiv_pos_as_xyz
'x,y,z'
'x,-y,z'
'x+1/2,y+1/2,z'
'x+1/2,-y+1/2,z'
loop_
_atom_site_label
_atom_site_type_symbol
_atom_site_fract_x
_atom_site_fract_y
_atom_site_fract_z
_atom_site_occupancy
Tl1 Tl 0.0000 0.0000 0.0000 1
Sb1 Sb 0.2230 0.0000 0.6716 1
Sb2 Sb 0.4972 0.0000 0.4931 1
Cl1 Cl 0.2275 0.5000 0.1835 1
```

***

No. 2
Here is a relaxed Ce2P2Cl crystal from Alexandria via LeMat-Bulk. Energies are from PBE.

Output
Crystal system: trigonal
Energy above the lowest structure with this stoichiometry, meV per atom: 0
Energy, eV for the cell shown: -31.166
Magnetization, μB/atom: 0.211
Formation energy without anion corrections, eV/f.u.: -6.63

Geometry as CIF:
```
data_Ce2P2Cl
_chemical_formula_sum 'Ce2 P2 Cl1'
_cell_length_a 4.9308
_cell_length_b 4.9308
_cell_length_c 5.9018
_cell_angle_alpha 90.00
_cell_angle_beta 90.00
_cell_angle_gamma 120.00
_symmetry_space_group_name_H-M 'P -3 m 1'
_symmetry_Int_Tables_number 164
_symmetry_space_group_name_Hall '-P 3 2"'
loop_
_atom_site_label
_atom_site_type_symbol
_atom_site_fract_x
_atom_site_fract_y
_atom_site_fract_z
_atom_site_occupancy
Ce1 Ce 0.3333 0.6667 0.2346 1
P1 P 0.3333 0.6667 0.7027 1
Cl1 Cl 0.0000 0.0000 0.0000 1
```

***

No. 3
Here is a relaxed LaLuMgPb crystal from Alexandria via LeMat-Bulk. Energies are from PBE.

Output
Crystal system: cubic
Energy, eV for the cell shown: -63.443
DFT formation energy, meV/atom: -277
Magnetization, μB/atom: 0.000

Geometry as CIF:
```
data_LaLuMgPb
_chemical_formula_sum 'La4 Lu4 Mg4 Pb4'
_cell_length_a 7.7034
_cell_length_b 7.7034
_cell_length_c 7.7034
_cell_angle_alpha 90.00
_cell_angle_beta 90.00
_cell_angle_gamma 90.00
_symmetry_space_group_name_H-M 'F -4 3 m'
_symmetry_Int_Tables_number 216
_symmetry_space_group_name_Hall 'F -4 2 3'
loop_
_atom_site_label
_atom_site_type_symbol
_atom_site_fract_x
_atom_site_fract_y
_atom_site_fract_z
_atom_site_occupancy
La1 La 0.0000 0.0000 0.0000 1
Lu1 Lu 0.0000 0.0000 0.5000 1
Mg1 Mg 0.2500 0.2500 0.7500 1
Pb1 Pb 0.2500 0.2500 0.2500 1
```

***

No. 4
Here is a relaxed CoP2SN crystal from Alexandria via LeMat-Bulk. Energies are from PBE.

Output
Crystal system: tetragonal
Energy above the lowest structure with this stoichiometry, meV per atom: 0
Energy, eV for the cell shown: -25.029
Magnetization, μB/atom: 0.000
Formation energy without anion corrections, eV/f.u.: 5.35

Geometry as CIF:
```
data_CoP2SN
_chemical_formula_sum 'Co1 P2 S1 N1'
_cell_length_a 3.8923
_cell_length_b 3.8923
_cell_length_c 4.1131
_cell_angle_alpha 90.00
_cell_angle_beta 90.00
_cell_angle_gamma 90.00
_symmetry_space_group_name_H-M 'P 4/m m m'
_symmetry_Int_Tables_number 123
_symmetry_space_group_name_Hall '-P 4 2'
loop_
_atom_site_label
_atom_site_type_symbol
_atom_site_fract_x
_atom_site_fract_y
_atom_site_fract_z
_atom_site_occupancy
Co1 Co 0.0000 0.0000 0.0000 1
P1 P 0.0000 0.5000 0.5000 1
S1 S 0.5000 0.5000 0.0000 1
N1 N 0.5000 0.5000 0.5000 1
```

***

No. 5
Here is a relaxed ZrReSbI2 crystal from Alexandria via LeMat-Bulk. Energies are from PBE.

Output
Crystal system: tetragonal
Energy above the lowest structure with this stoichiometry, meV per atom: 0
Energy, eV for the cell shown: -22.688
Magnetization, μB/atom: 0.420
Formation energy without anion corrections, eV/f.u.: 5.53

Geometry as CIF:
```
data_ZrReSbI2
_chemical_formula_sum 'Zr1 Re1 Sb1 I2'
_cell_length_a 5.4297
_cell_length_b 5.4297
_cell_length_c 5.1138
_cell_angle_alpha 90.00
_cell_angle_beta 90.00
_cell_angle_gamma 90.00
_symmetry_space_group_name_H-M 'P 4/m m m'
_symmetry_Int_Tables_number 123
_symmetry_space_group_name_Hall '-P 4 2'
loop_
_atom_site_label
_atom_site_type_symbol
_atom_site_fract_x
_atom_site_fract_y
_atom_site_fract_z
_atom_site_occupancy
Zr1 Zr 0.0000 0.0000 0.0000 1
Re1 Re 0.5000 0.5000 0.5000 1
Sb1 Sb 0.5000 0.5000 0.0000 1
I1 I 0.0000 0.5000 0.5000 1
```

***

No. 6
Here is a relaxed Pm4OsAuBr2 crystal from Alexandria via LeMat-Bulk. Energies are from PBE.

Output
Crystal system: monoclinic
Energy, eV for the cell shown: -43.862
Magnetization, μB/atom: 0.000
Formation energy without anion corrections, eV/f.u.: -7.01

Geometry as CIF:
```
data_Pm4OsAuBr2
_chemical_formula_sum 'Pm4 Os1 Au1 Br2'
_cell_length_a 7.3227
_cell_length_b 4.1888
_cell_length_c 8.1150
_cell_angle_alpha 90.00
_cell_angle_beta 107.64
_cell_angle_gamma 90.00
_symmetry_space_group_name_H-M 'P 1 2/m 1'
_symmetry_Int_Tables_number 10
loop_
_symmetry_equiv_pos_as_xyz
'x,y,z'
'-x,-y,-z'
'-x,y,-z'
'x,-y,z'
loop_
_atom_site_label
_atom_site_type_symbol
_atom_site_fract_x
_atom_site_fract_y
_atom_site_fract_z
_atom_site_occupancy
Pm1 Pm 0.2202 0.0000 0.1975 1
Pm2 Pm 0.2410 0.5000 0.7987 1
Os1 Os 0.0000 0.5000 0.0000 1
Au1 Au 0.5000 0.0000 0.0000 1
Br1 Br 0.0000 0.0000 0.5000 1
Br2 Br 0.5000 0.5000 0.5000 1
```

***

No. 7
Here is a relaxed Cr2PtBr crystal from Alexandria via LeMat-Bulk. Energies are from PBE.

Output
Crystal system: tetragonal
Energy above the lowest structure with this stoichiometry, meV per atom: 146
Energy, eV for the cell shown: -25.784
Magnetization, μB/atom: 0.151
Formation energy without anion corrections, eV/f.u.: 1.18

Geometry as CIF:
```
data_Cr2PtBr
_chemical_formula_sum 'Cr2 Pt1 Br1'
_cell_length_a 3.6110
_cell_length_b 3.6110
_cell_length_c 5.5243
_cell_angle_alpha 90.00
_cell_angle_beta 90.00
_cell_angle_gamma 90.00
_symmetry_space_group_name_H-M 'P 4 m m'
_symmetry_Int_Tables_number 99
loop_
_symmetry_equiv_pos_as_xyz
'x,y,z'
'-y,x,z'
'-x,-y,z'
'y,-x,z'
'-x,y,z'
'y,x,z'
'x,-y,z'
'-y,-x,z'
loop_
_atom_site_label
_atom_site_type_symbol
_atom_site_fract_x
_atom_site_fract_y
_atom_site_fract_z
_atom_site_occupancy
Cr1 Cr 0.0000 0.0000 0.0000 1
Cr2 Cr 0.5000 0.5000 0.3419 1
Pt1 Pt 0.0000 0.0000 0.4741 1
Br1 Br 0.5000 0.5000 0.8518 1
```